The following is a PBE with a Hubbard U calculation of a relaxed RbMnF3 crystal, from Alexandria.

## Properties
N(E_F) = 0.00 states/eV per cell
total energy = -107.77 eV for the cell shown

a = 6.216 Å, b = 16.299 Å, c = 5.253 Å
α = 90.00°, β = 90.00°, γ = 90.00°
Space group Cmcm (No. 63)
Asymmetric unit:
Rb (0.000, 0.183, 0.250) (multiplicity 4)
Mn (0.000, 0.407, 0.250) (multiplicity 4)
F (0.000, 0.500, 0.000) (multiplicity 4)
F (0.247, 0.329, 0.250) (multiplicity 8)